Entry 1:
# RbP2SCl

An optimized crystal structure of RbP2SCl (PBE, Alexandria via LeMat-Bulk).

Properties
**Energy relative to the lowest polymorph listed for this composition**: 1498.9 meV/atom
**Magnetization**: 3.98 μB per formula unit
**Uncorrected energy**: -2.0215 eV per atom
**Calculated volume**: 321.29 Å³/cell
**Formation energy (no corrections)**: 1.531 eV per atom

Cell lengths 7.0562, 7.0562, 6.4530 Å; angles 90.00, 90.00, 90.00 degrees
Closest atoms and distances in Å follow each position.
Space group P4/mmm (No. 123)
Inequivalent atoms, fractional coordinates:
Rb 0.0000 0.0000 0.0000  2 S 3.23, 4 P 3.53
P 0.0000 0.5000 0.0000  2 Rb 3.53
S 0.0000 0.0000 0.5000  2 Rb 3.23
Cl 0.5000 0.5000 0.5000  8 P 4.78, 4 S 4.99

Entry 2:
# GeIrAu3

An optimized crystal structure of GeIrAu3 (PBE, Alexandria via LeMat-Bulk).

Properties
**Energy relative to the lowest polymorph listed for this composition**: 0.0 meV/atom
**Magnetization**: 0.00 μB per formula unit
**Uncorrected energy**: -3.6099 eV per atom
**Calculated volume**: 126.97 Å³/cell
**ΔH_f (0 K)**: 1052.2 meV per atom

Cell lengths 5.0261, 5.0261, 5.0261 Å; angles 90.00, 90.00, 90.00 degrees
Closest atoms and distances in Å follow each position.
Space group Pm-3m (No. 221)
Inequivalent atoms, fractional coordinates:
Ge 0.0000 0.0000 0.0000  12 Au 3.55
Ir 0.5000 0.5000 0.5000  6 Au 2.51
Au 0.0000 0.5000 0.5000  2 Ir 2.51

Entry 3:
# YScP2I

An optimized crystal structure of YScP2I (PBE, Alexandria via LeMat-Bulk).

Properties
**Magnetization**: 0.00 μB per formula unit
**Uncorrected energy**: -5.3565 eV per atom
**Calculated volume**: 134.08 Å³/cell
**Formation energy (no corrections)**: -0.323 eV per atom

Cell lengths 4.9327, 4.9327, 5.5104 Å; angles 90.00, 90.00, 90.00 degrees
Closest atoms and distances in Å follow each position.
Space group P4/mmm (No. 123)
Inequivalent atoms, fractional coordinates:
Y 0.0000 0.0000 0.0000  4 I 3.49, 8 P 3.70
Sc 0.5000 0.5000 0.5000  4 P 2.47, 2 I 2.76
P 0.0000 0.5000 0.5000  2 Sc 2.47
I 0.5000 0.5000 0.0000  2 Sc 2.76

Entry 4:
# Zn4IrOs

An optimized crystal structure of Zn4IrOs (PBE, Alexandria via LeMat-Bulk).

Properties
**Magnetization**: 0.47 μB per formula unit
**Uncorrected energy**: -3.9706 eV per atom
**Calculated volume**: 328.49 Å³/cell
**ΔH_f (0 K)**: 227.2 meV per atom

Cell lengths 6.8999, 6.8999, 6.8999 Å; angles 90.00, 90.00, 90.00 degrees
Closest atoms and distances in Å follow each position.
Space group F-43m (No. 216)
Inequivalent atoms, fractional coordinates:
Zn 0.1248 0.1248 0.1248  6 Zn 2.44
Ir 0.0000 0.0000 0.5000  12 Zn 2.86, 4 Os 2.99
Os 0.2500 0.2500 0.7500  12 Zn 2.86, 4 Ir 2.99

The highest uncorrected energy belongs to which entry?
RbP2SCl

uncorrected energy of number 4 (Zn4IrOs)?
-3.9706 eV per atom

Among the records above, which one has the highest calculated volume?
Zn4IrOs